A plane-wave DFT calculation with PBE was carried out for a geometry-optimized Sr2CrRh structure.

```
Sr2CrRh
1.0
-2.055 2.472 5.903
2.055 -2.472 5.903
2.055 2.472 -5.903
Sr Cr Rh
2 1 1
Direct
0.000 0.000 0.000
0.729 0.229 0.500
0.306 0.806 0.500
0.413 0.413 0.000
```

ΔE to the lowest computed polymorph: 108.3 meV/atom
D(E_F): 4.4 states/eV/cell
Uncorrected energy: -4.854 eV/atom
ΔE_f: 0.231 eV per atom
Calculated volume: 29.99 A^3/atom

---

A plane-wave DFT calculation with PBE was carried out for a geometry-optimized LaAuBr2 structure.

```
LaAuBr2
1.0
-2.404 2.404 4.478
2.404 -2.404 4.478
2.404 2.404 -4.478
La Au Br
1 1 2
Direct
0.000 0.000 0.000
0.250 0.750 0.500
0.500 0.500 0.000
0.750 0.250 0.500
```

ΔE to the lowest computed polymorph: 172.8 meV/atom
Uncorrected energy: -4.017 eV/atom
Energy relative to the elements, uncorrected: -1.13 eV/atom
Calculated volume: 25.88 A^3/atom

---

A plane-wave DFT calculation with PBE was carried out for a geometry-optimized Sr6Hg3Rh structure.

```
Sr6Hg3Rh
1.0
7.507 0.000 0.000
0.000 8.800 0.000
-7.438 0.000 11.560
Sr Hg Rh
12 6 2
Direct
0.090 0.042 0.235
0.090 0.458 0.735
0.209 0.699 0.066
0.209 0.801 0.566
0.393 0.163 0.065
0.393 0.337 0.565
0.607 0.663 0.435
0.607 0.837 0.935
0.791 0.199 0.434
0.791 0.301 0.934
0.910 0.542 0.265
0.910 0.958 0.765
0.306 0.115 0.742
0.306 0.385 0.242
0.500 0.000 0.500
0.500 0.500 0.000
0.694 0.615 0.758
0.694 0.885 0.258
0.000 0.000 0.000
0.000 0.500 0.500
```

D(E_F): 12.9 states/eV/cell
Uncorrected energy: -2.209 eV/atom
ΔE_f: -0.374 eV per atom
Calculated volume: 38.19 A^3/atom

---

A plane-wave DFT calculation with PBE was carried out for a geometry-optimized CePr2Co2 structure.

```
CePr2Co2
1.0
6.604 -1.878 0.000
6.604 1.878 0.000
-6.560 0.000 9.478
Ce Pr Co
2 4 4
Direct
0.137 0.137 0.344
0.863 0.863 0.656
0.148 0.148 0.680
0.398 0.398 0.064
0.602 0.602 0.936
0.852 0.852 0.320
0.108 0.108 0.136
0.432 0.432 0.569
0.568 0.568 0.431
0.892 0.892 0.864
```

ΔE to the lowest computed polymorph: 13.9 meV/atom
D(E_F): 9.2 states/eV/cell
Uncorrected energy: -6.069 eV/atom
ΔE_f: -0.128 eV per atom
Calculated volume: 23.51 A^3/atom

---

A plane-wave DFT calculation with PBE was carried out for a geometry-optimized MgSiW2 structure.

```
MgSiW2
1.0
2.735 0.000 0.000
0.000 2.735 0.000
0.000 0.000 8.732
Mg Si W
1 1 2
Direct
0.000 0.000 0.000
0.500 0.500 0.264
0.000 0.000 0.481
0.500 0.500 0.741
```

D(E_F): 2.4 states/eV/cell
Uncorrected energy: -7.874 eV/atom
Energy relative to the elements, uncorrected: 0.36 eV/atom
Calculated volume: 16.33 A^3/atom

---

A plane-wave DFT calculation with PBE was carried out for a geometry-optimized HfCuI2N structure.

```
HfCuI2N
1.0
5.573 0.000 0.000
0.000 5.573 0.000
0.000 0.000 3.583
Hf Cu I N
1 1 2 1
Direct
0.000 0.000 0.000
0.500 0.500 0.500
0.000 0.500 0.500
0.500 0.000 0.500
0.500 0.500 0.000
```

ΔE to the lowest computed polymorph: 689.6 meV/atom
D(E_F): 3.8 states/eV/cell
Uncorrected energy: -4.281 eV/atom
Energy relative to the elements, uncorrected: 0.81 eV/atom
Calculated volume: 22.26 A^3/atom

---

A plane-wave DFT calculation with PBE was carried out for a geometry-optimized MnSb2Au structure.

```
MnSb2Au
1.0
0.000 3.547 3.547
3.547 0.000 3.547
3.547 3.547 0.000
Mn Sb Au
1 2 1
Direct
0.000 0.000 0.000
0.500 0.500 0.500
0.750 0.750 0.750
0.250 0.250 0.250
```

ΔE to the lowest computed polymorph: 310.6 meV/atom
D(E_F): 2.8 states/eV/cell
Uncorrected energy: -4.833 eV/atom
Energy relative to the elements, uncorrected: 0.34 eV/atom
Calculated volume: 22.32 A^3/atom

---

A plane-wave DFT calculation with PBE was carried out for a geometry-optimized ScAlPb2 structure.

```
ScAlPb2
1.0
3.272 0.000 0.000
0.000 3.272 0.000
0.000 0.000 9.599
Sc Al Pb
1 1 2
Direct
0.000 0.000 0.000
0.500 0.500 0.189
0.000 0.000 0.427
0.500 0.500 0.744
```

D(E_F): 2.4 states/eV/cell
Uncorrected energy: -4.436 eV/atom
ΔE_f: -0.064 eV per atom
Calculated volume: 25.69 A^3/atom